# 1
Below is SiSbBr after structural relaxation, with properties calculated at the PBE level.

Cell lengths 7.9220, 7.5947, 3.3975 Å; angles 82.80, 72.01, 25.18 degrees
With the nearest neighbours (Å) after each atom.
Sites, in units of the cell vectors:
1 Si 0.6647 0.6647 0.3353  2 Br 2.67, 2 Sb 2.74
2 Sb 0.3047 0.3047 0.6953  2 Si 2.74
3 Br 0.0307 0.0307 0.9693  2 Si 2.67

Values from the calculation:
Total magnetization: 0.0 μB per formula unit
Energy relative to the elements, uncorrected: 0.3379 eV per atom

=====

# 2
Below is BaMn3 after structural relaxation, with properties calculated at the PBE level.

Cell lengths 3.2264, 3.2264, 7.9721 Å; angles 90.00, 90.00, 89.94 degrees
With the nearest neighbours (Å) after each atom.
Sites, in units of the cell vectors:
1 Mn 0.0000 0.0000 0.5000  8 Mn 2.62
2 Mn 0.5000 0.5000 0.3378  5 Mn 2.59-2.62
3 Ba 0.0000 0.0000 0.0000  4 Ba 3.23, 8 Mn 3.53
4 Mn 0.5000 0.5000 0.6622  5 Mn 2.59-2.62

Values from the calculation:
Total magnetization: 4.2 μB per formula unit
Uncorrected energy: -0.2487 Ha/atom

=====

# 3
Below is K2SrLa after structural relaxation, with properties calculated at the PBE level.

Cell lengths 7.1872, 7.1872, 8.1382 Å; angles 85.73, 85.73, 31.30 degrees
With the nearest neighbours (Å) after each atom.
Sites, in units of the cell vectors:
1 K 0.7534 0.7534 0.7502  3 K 3.88-4.07, 2 Sr 4.26, 1 La 4.29
2 La 0.5026 0.5026 0.4718  2 La 3.88, 3 Sr 3.99-4.06, 1 K 4.29
3 K 0.9997 0.9997 0.9927  3 K 3.88-4.07, 1 Sr 4.29
4 Sr 0.2443 0.2443 0.2852  2 Sr 3.88, 3 La 3.99-4.06, 3 K 4.26-4.29

Values from the calculation:
Total magnetization: 0.0 μB per formula unit
Uncorrected energy: -0.0687 Ha/atom

=====

# 4
Below is CeHoGe2 after structural relaxation, with properties calculated at the PBE level.

Cell lengths 4.2355, 4.2355, 7.1016 Å; angles 72.65, 72.65, 60.00 degrees
With the nearest neighbours (Å) after each atom.
Sites, in units of the cell vectors:
1 Ho 0.0000 0.0000 0.0000  6 Ge 2.96
2 Ge 0.2500 0.2500 0.2501  3 Ce 2.96, 3 Ho 2.96
3 Ce 0.5000 0.5000 0.5000  6 Ge 2.96
4 Ge 0.7500 0.7500 0.7499  3 Ce 2.96, 3 Ho 2.96

Values from the calculation:
Total magnetization: 0.0 μB per formula unit
Uncorrected energy: -0.2053 Ha/atom

=====

# 5
Below is TlAs2HBr after structural relaxation, with properties calculated at the PBE level.

Cell lengths 4.1600, 4.1600, 7.2777 Å; angles 90.00, 90.00, 90.00 degrees
With the nearest neighbours (Å) after each atom.
Sites, in units of the cell vectors:
1 H 0.0000 0.0000 0.0000  4 As 2.08
2 Br 0.0000 0.0000 0.5000  4 Tl 2.94
3 As 0.5000 0.0000 0.0000  2 H 2.08
4 Tl 0.5000 0.5000 0.5000  4 Br 2.94
5 As 0.0000 0.5000 0.0000  2 H 2.08

Values from the calculation:
Total magnetization: 0.5 μB per formula unit
Uncorrected energy: -0.1097 Ha/atom

=====

# 6
Below is Te6Mo2W after structural relaxation, with properties calculated at the PBE level.

Cell lengths 3.5549, 3.5549, 23.2087 Å; angles 90.00, 90.00, 120.00 degrees
With the nearest neighbours (Å) after each atom.
Sites, in units of the cell vectors:
1 Te 0.0000 0.0000 0.4252  3 Mo 2.74
2 Te 0.3333 0.6667 0.9479  3 Mo 2.74
3 Te 0.0000 0.0000 0.2691  3 Mo 2.74
4 W 0.0000 0.0000 0.6679  6 Te 2.74
5 Mo 0.3333 0.6667 0.3472  6 Te 2.74
6 Te 0.3333 0.6667 0.5895  3 W 2.74
7 Te 0.3333 0.6667 0.7463  3 W 2.74
8 Mo 0.0000 0.0000 0.0258  6 Te 2.74
9 Te 0.3333 0.6667 0.1039  3 Mo 2.74

Values from the calculation:
Total magnetization: 0.0 μB per formula unit
Energy relative to the elements, uncorrected: -0.2138 eV per atom

=====

# 7
Below is VCoP3 after structural relaxation, with properties calculated at the PBE level.

Cell lengths 4.4822, 4.4822, 4.4822 Å; angles 90.00, 90.00, 90.00 degrees
With the nearest neighbours (Å) after each atom.
Sites, in units of the cell vectors:
1 P 0.0000 0.0000 0.5000  2 V 2.24
2 V 0.0000 0.0000 0.0000  6 P 2.24
3 Co 0.5000 0.5000 0.5000  12 P 3.17
4 P 0.5000 0.0000 0.0000  2 V 2.24
5 P 0.0000 0.5000 0.0000  2 V 2.24

Values from the calculation:
Total magnetization: 1.9 μB per formula unit
Uncorrected energy: -0.2114 Ha/atom

=====

# 8
Below is InCuHg after structural relaxation, with properties calculated at the PBE level.

Cell lengths 4.4388, 4.4388, 3.7862 Å; angles 90.00, 90.00, 120.00 degrees
With the nearest neighbours (Å) after each atom.
Sites, in units of the cell vectors:
1 Hg 0.3333 0.6667 0.2619  3 Cu 2.72
2 Cu 0.0000 0.0000 0.0182  3 Hg 2.72, 3 In 2.80
3 In 0.6667 0.3333 0.7199  3 Cu 2.80, 3 Hg 3.09

Values from the calculation:
Total magnetization: 0.0 μB per formula unit
Uncorrected energy: -0.0809 Ha/atom